Here is a relaxed LiCoSb crystal from the Alexandria database. Energies are from PBE-GGA.

a = 3.3105 Å, b = 3.3105 Å, c = 8.1203 Å
α = 90.00°, β = 90.00°, γ = 90.00°
Closest atoms and distances in Å follow each position.
Space group I4mm (No. 107)
Asymmetric unit:
Li: 0.0000 0.0000 0.0000  5 Sb 2.61-2.76, 5 Co 2.70
Co: 0.0000 0.0000 0.6669  5 Sb 2.65-2.81, 5 Li 2.70
Sb: 0.0000 0.0000 0.3211  5 Li 2.61-2.76, 5 Co 2.65-2.81

Calculated values
Mass density in g/cm3: 7.002
Formation energy from raw total energies in eV per atom: -0.1242